(1)
Crystalline BaHBr2 at its relaxed geometry, computed with PBE-GGA.

Summary:
raw total energy: -3.799 eV/atom

Unit cell a=6.116 b=5.103 c=8.455 alpha=90.00 beta=107.50 gamma=90.00
Fractional positions:
Ba: 0.000 0.000 0.000
Ba: 0.323 0.500 0.549
H: 0.010 0.000 0.544
H: 0.953 0.000 0.451
Br: 0.429 0.000 0.340
Br: 0.429 0.000 0.829
Br: 0.896 0.500 0.205
Br: 0.898 0.500 0.729

(2)
Crystalline BaHBr2 at its relaxed geometry, computed with PBE-GGA.

Summary:
raw total energy: -3.064 eV/atom

Unit cell a=9.787 b=9.787 c=9.787 alpha=142.56 beta=142.56 gamma=53.99
Fractional positions:
Ba: 0.000 0.000 0.000
Ba: 0.750 0.250 0.500
H: 0.250 0.750 0.500
H: 0.500 0.500 0.000
Br: 0.129 0.625 0.004
Br: 0.375 0.379 0.504
Br: 0.621 0.125 0.996
Br: 0.875 0.871 0.496

(3)
Crystalline BaHBr2 at its relaxed geometry, computed with PBE-GGA.

Summary:
raw total energy: -3.765 eV/atom

Unit cell a=7.450 b=7.450 c=8.414 alpha=105.16 beta=105.16 gamma=35.77
Fractional positions:
Ba: 0.000 0.000 0.000
Ba: 0.203 0.203 0.606
H: 0.006 0.841 0.285
H: 0.841 0.006 0.285
Br: 0.338 0.338 0.994
Br: 0.600 0.600 0.798
Br: 0.609 0.609 0.298
Br: 0.863 0.863 0.617

(4)
Crystalline BaH3Br at its relaxed geometry, computed with PBE-GGA.

Summary:
ΔE to the lowest computed polymorph: 0 meV per atom
raw total energy: -2.451 eV/atom

Unit cell a=4.758 b=4.758 c=4.758 alpha=90.00 beta=90.00 gamma=90.00
Fractional positions:
Ba: 0.000 0.000 0.000
H: 0.000 0.000 0.500
H: 0.000 0.500 0.000
H: 0.500 0.000 0.000
Br: 0.500 0.500 0.500

(5)
Crystalline Ba2HBr at its relaxed geometry, computed with PBE-GGA.

Summary:
ΔE to the lowest computed polymorph: 331 meV per atom
raw total energy: -2.804 eV/atom

Unit cell a=5.562 b=5.562 c=5.562 alpha=60.00 beta=60.00 gamma=60.00
Fractional positions:
Ba: 0.250 0.250 0.250
Ba: 0.750 0.750 0.750
H: 0.000 0.000 0.000
Br: 0.500 0.500 0.500

(6)
Crystalline Ba2H2Br at its relaxed geometry, computed with PBE-GGA.

Summary:
ΔE to the lowest computed polymorph: 84 meV per atom
raw total energy: -3.374 eV/atom

Unit cell a=6.884 b=6.884 c=7.431 alpha=120.03 beta=120.03 gamma=75.47
Fractional positions:
Ba: 0.006 0.325 0.186
Ba: 0.325 0.006 0.686
Ba: 0.675 0.994 0.314
Ba: 0.994 0.675 0.814
H: 0.007 0.261 0.514
H: 0.261 0.007 0.014
H: 0.739 0.993 0.986
H: 0.993 0.739 0.486
Br: 0.460 0.540 0.250
Br: 0.540 0.460 0.750